(1)
VASP calculation (PBE) on CaErZnIr after structural relaxation.

Calculated values
Uncorrected energy ... -18.43 eV for the cell shown

Lattice parameters (Å, degrees): 4.911 4.911 4.911 60.00 60.00 60.00
Fractional positions:
Ca: 0.000 0.000 0.000
Er: 0.500 0.500 0.500
Zn: 0.750 0.750 0.750
Ir: 0.250 0.250 0.250



(2)
VASP calculation (PBE) on Al2PdAu4 after structural relaxation.

Calculated values
Uncorrected energy ... -27.07 eV for the cell shown

Lattice parameters (Å, degrees): 6.659 6.659 2.809 90.00 90.00 90.00
Fractional positions:
Al: 0.000 0.500 0.000
Al: 0.500 0.000 0.000
Pd: 0.000 0.000 0.500
Au: 0.286 0.286 0.500
Au: 0.286 0.714 0.500
Au: 0.714 0.286 0.500
Au: 0.714 0.714 0.500



(3)
VASP calculation (PBE) on LiTm2Ga after structural relaxation.

Calculated values
Uncorrected energy ... -14.32 eV for the cell shown

Lattice parameters (Å, degrees): 9.945 9.945 9.945 20.24 20.24 20.24
Fractional positions:
Li: 0.000 0.000 0.000
Tm: 0.240 0.240 0.240
Tm: 0.760 0.760 0.760
Ga: 0.500 0.500 0.500



(4)
VASP calculation (PBE) on CaInC after structural relaxation.

Calculated values
Uncorrected energy ... -28.51 eV for the cell shown

Lattice parameters (Å, degrees): 4.737 4.737 9.024 112.01 112.01 47.81
Fractional positions:
Ca: 0.088 0.088 0.334
Ca: 0.912 0.912 0.666
In: 0.322 0.322 0.925
In: 0.678 0.678 0.075
C: 0.419 0.419 0.474
C: 0.581 0.581 0.526



(5)
VASP calculation (PBE) on YGePb2 after structural relaxation.

Calculated values
Uncorrected energy ... -37.73 eV for the cell shown

Lattice parameters (Å, degrees): 6.817 6.817 6.817 101.78 101.78 126.27
Fractional positions:
Y: 0.000 0.000 0.000
Y: 0.750 0.250 0.500
Ge: 0.250 0.750 0.500
Ge: 0.500 0.500 0.000
Pb: 0.161 0.125 0.536
Pb: 0.375 0.839 0.964
Pb: 0.589 0.625 0.464
Pb: 0.875 0.411 0.036



(6)
VASP calculation (PBE) on NpMnIr2 after structural relaxation.

Calculated values
Uncorrected energy ... -40.30 eV for the cell shown

Lattice parameters (Å, degrees): 4.623 4.623 4.623 60.00 60.00 60.00
Fractional positions:
Np: 0.000 0.000 0.000
Mn: 0.500 0.500 0.500
Ir: 0.250 0.250 0.250
Ir: 0.750 0.750 0.750